Material: PmZnCu11
Method: DFT, PBE
State: optimized geometry

It has space group C2/m (No. 12), with a = 4.871 Å, b = 12.033 Å, c = 6.556 Å, α = 90.00°, β = 111.55° and γ = 90.00°. The inequivalent atoms are Pm at (0.000, 0.000, 0.000), Zn at (0.000, 0.500, 0.500), Cu at (0.000, 0.000, 0.500), Cu at (0.112, 0.387, 0.225), Cu at (0.170, 0.179, 0.354) and Cu at (0.250, 0.250, 0.000).

For the energy of formation from the pure elements, the calculation gives -8.5 kJ/mol of atoms. For the calculated density, the calculation gives 8.4 Mg/m³.

***

Material: Y2In2Ag
Method: DFT, PBE
State: optimized geometry

It has space group Amm2 (No. 38), with a = 3.519 Å, b = 4.727 Å, c = 15.022 Å, α = 90.00°, β = 90.00° and γ = 90.00°. The inequivalent atoms are Y at (0.000, 0.000, 0.000), Y at (0.000, 0.000, 0.231), In at (0.500, 0.000, 0.612), In at (0.500, 0.000, 0.817) and Ag at (0.500, 0.000, 0.417).

For the energy of formation from the pure elements, the calculation gives -41.4 kJ/mol of atoms. For the calculated density, the calculation gives 6.8 Mg/m³.

***

Material: Sm5CdRh4
Method: DFT, PBE
State: optimized geometry

It has space group P4/mmm (No. 123), with a = 3.554 Å, b = 3.554 Å, c = 18.004 Å, α = 90.00°, β = 90.00° and γ = 90.00°. The inequivalent atoms are Sm at (0.000, 0.000, 0.000), Sm at (0.000, 0.000, 0.191), Sm at (0.000, 0.000, 0.379), Cd at (0.500, 0.500, 0.500), Rh at (0.500, 0.500, 0.096) and Rh at (0.500, 0.500, 0.289).

For the energy of formation from the pure elements, the calculation gives -62.3 kJ/mol of atoms. For the calculated density, the calculation gives 9.3 Mg/m³.

***

Material: TaCu2TcAg
Method: DFT, PBE
State: optimized geometry

It has space group P4/mmm (No. 123), with a = 4.691 Å, b = 4.691 Å, c = 5.061 Å, α = 90.00°, β = 90.00° and γ = 90.00°. The inequivalent atoms are Ta at (0.000, 0.000, 0.000), Cu at (0.000, 0.500, 0.000), Tc at (0.500, 0.500, 0.500) and Ag at (0.000, 0.000, 0.500).

For the energy of formation from the pure elements, the calculation gives 190.7 kJ/mol of atoms. For the calculated density, the calculation gives 7.7 Mg/m³.

***

Material: BaDySb2
Method: DFT, PBE
State: optimized geometry

It has space group R3m (No. 160, hexagonal axes), with a = 4.5145 Å, b = 4.5145 Å, c = 24.7954 Å, α = 90.00°, β = 90.00° and γ = 120.00°. The inequivalent atoms are Ba at (0.0000, 0.0000, 0.0000), Dy at (0.0000, 0.0000, 0.8288), Sb at (0.0000, 0.0000, 0.2343) and Sb at (0.0000, 0.0000, 0.4270).

The uncorrected formation energy is -0.90 eV/atom. For the calculated density, the calculation gives 6.2 Mg/m³.

***

Material: NbBiOF2
Method: DFT, PBE
State: optimized geometry

It has space group P4/mmm (No. 123), with a = 4.558 Å, b = 4.558 Å, c = 4.604 Å, α = 90.00°, β = 90.00° and γ = 90.00°. The inequivalent atoms are Nb at (0.000, 0.000, 0.000), Bi at (0.500, 0.500, 0.500), O at (0.500, 0.500, 0.000) and F at (0.000, 0.500, 0.500).

The uncorrected formation energy is -0.58 eV/atom. For the calculated density, the calculation gives 6.2 Mg/m³.

***

Material: BaHoRe2O8
Method: DFT, PBE
State: optimized geometry

It has space group P-3m1 (No. 164), with a = 5.9548 Å, b = 5.9548 Å, c = 7.5539 Å, α = 90.00°, β = 90.00° and γ = 120.00°. The inequivalent atoms are Ba at (0.0000, 0.0000, 0.0000), Ho at (0.0000, 0.0000, 0.5000), Re at (0.3333, 0.6667, 0.7699), O at (0.1640, 0.3280, 0.6941) and O at (0.3333, 0.6667, 0.0080).

The uncorrected formation energy is -2.10 eV/atom. For the calculated density, the calculation gives 5.7 Mg/m³.

***

Material: PrScAg
Method: DFT, PBE
State: optimized geometry

It has space group P3m1 (No. 156), with a = 4.9127 Å, b = 4.9127 Å, c = 3.7991 Å, α = 90.00°, β = 90.00° and γ = 120.00°. The inequivalent atoms are Pr at (0.0000, 0.0000, 0.0000), Sc at (0.3333, 0.6667, 0.5005) and Ag at (0.6667, 0.3333, 0.4978).

For the energy of formation from the pure elements, the calculation gives -3.4 kJ/mol of atoms. For the calculated density, the calculation gives 6.1 Mg/m³.

***

- What is the formula in the eighth record?
  PrScAg